(1)
Here is a relaxed Ag2RuF crystal from Alexandria. Energies are from PBE.

Cell: 10.0639 2.8327 9.5603 Å, 90.00 113.36 90.00°
With the nearest neighbours (Å) after each atom.
Space group Cm (No. 8)
Symmetry-distinct sites (fractional):
Ag (0.0000, 0.0000, 0.0000) x2  1 F 2.83, 8 Ag 2.83-3.01, 2 Ru 2.94
Ag (0.0127, 0.0000, 0.5949) x2  2 F 2.75-2.85, 4 Ag 2.83, 6 Ru 2.83-2.99
Ag (0.1762, 0.5000, 0.8647) x2  9 Ag 2.83-2.99, 3 Ru 2.92-3.15
Ag (0.3258, 0.0000, 0.1399) x2  4 F 2.48-2.56
Ru (0.1983, 0.5000, 0.4894) x2  1 F 1.99
Ru (0.3354, 0.0000, 0.7135) x2  2 Ru 2.48
F (0.0405, 0.0000, 0.3101) x2  2 Ru 2.30, 2 Ag 2.56
F (0.2723, 0.5000, 0.3244) x2  1 Ru 1.99

Computed properties:
V (Å³ per cell): 250.2
Calculated total energy (eV per atom): -4.42
ΔE_f (raw) (meV/atom): -204
Relative energy among the computed polymorphs (kJ/mol of formula units): 0

(2)
Here is a relaxed Ag2RuF crystal from Alexandria. Energies are from PBE.

Cell: 10.0040 2.8388 8.9605 Å, 90.00 95.02 90.00°
With the nearest neighbours (Å) after each atom.
Space group Cm (No. 8)
Symmetry-distinct sites (fractional):
Ag (0.0000, 0.0000, 0.0000) x2  3 F 2.40-2.47
Ag (0.0248, 0.5000, 0.7311) x2  9 Ag 2.82-2.97, 3 Ru 2.92-3.11
Ag (0.0629, 0.0000, 0.4660) x2  2 F 2.79, 4 Ag 2.82-2.84, 6 Ru 2.84-2.96
Ag (0.2631, 0.0000, 0.8650) x2  1 F 2.76, 8 Ag 2.84-2.99, 2 Ru 2.94
Ru (0.2951, 0.5000, 0.5836) x2  2 Ru 2.50
Ru (0.3218, 0.0000, 0.3586) x2  2 F 1.99-2.06
F (0.2119, 0.0000, 0.1630) x2  1 Ru 1.99
F (0.4679, 0.0000, 0.2105) x2  1 Ru 2.06

Computed properties:
V (Å³ per cell): 253.5
Calculated total energy (eV per atom): -4.42
ΔE_f (raw) (meV/atom): -206
Relative energy among the computed polymorphs (kJ/mol of formula units): 0

(3)
Here is a relaxed AgSbRu2F crystal from Alexandria. Energies are from PBE.

Cell: 5.1198 5.1198 4.9924 Å, 90.00 90.00 90.00°
With the nearest neighbours (Å) after each atom.
Space group P4/mmm (No. 123)
Symmetry-distinct sites (fractional):
Ag (0.0000, 0.0000, 0.0000) x1  2 Sb 2.50, 4 Ru 2.56
Sb (0.0000, 0.0000, 0.5000) x1  2 Ag 2.50
Ru (0.0000, 0.5000, 0.0000) x2  2 Ag 2.56
F (0.5000, 0.5000, 0.5000) x1  8 Ru 3.58, 4 Sb 3.62

Computed properties:
V (Å³ per cell): 130.9
Calculated total energy (eV per atom): -3.85
ΔE_f (raw) (meV/atom): 1625